A plane-wave DFT calculation with PBE was carried out for a geometry-optimized Cd2PdRu structure.

- Calculated total energy: -3.59 eV per atom
- Calculated volume: 307.91 Å³ per cell

Cell lengths 7.4161, 7.4161, 5.5986 Å; angles 90.00, 90.00, 90.00 degrees
Last column: nearest neighbours and their distance in Å.
Space group I-42d (No. 122)
One atom of each set of equivalent atoms:
Cd (0.2461, 0.2500, 0.1250) x8  2 Pd 2.69, 2 Ru 2.73, 2 Cd 2.80
Pd (0.0000, 0.0000, 0.0000) x4  4 Cd 2.69, 2 Ru 2.80
Ru (0.0000, 0.0000, 0.5000) x4  4 Cd 2.73, 2 Pd 2.80